Entry 1:
This record from Alexandria describes a geometry-optimized SrPmGa structure. The functional is GGA-PBE.

Cell lengths 3.7916, 3.7916, 13.7353 Å; angles 90.00, 90.00, 90.00 degrees
Space group I4mm (No. 107)
Symmetry-distinct sites (fractional):
1 Sr 0.0000 0.0000 0.0000 [2 per cell]
2 Pm 0.0000 0.0000 0.2661 [2 per cell]
3 Ga 0.0000 0.0000 0.6553 [2 per cell]

Offset from the most stable computed form   0.00 eV/f.u.
E   -10.287 eV per formula unit

=====

Entry 2:
This record from Alexandria describes a geometry-optimized SrPmGa structure. The functional is GGA-PBE.

Cell lengths 5.0895, 5.0895, 9.5983 Å; angles 90.00, 90.00, 120.00 degrees
Space group P-3m1 (No. 164)
Symmetry-distinct sites (fractional):
1 Sr 0.3333 0.6667 0.1664 [2 per cell]
2 Pm 0.3333 0.6667 0.5877 [2 per cell]
3 Ga 0.0000 0.0000 0.3566 [2 per cell]

Offset from the most stable computed form   0.00 eV/f.u.
E   -10.284 eV per formula unit

=====

Entry 3:
This record from Alexandria describes a geometry-optimized Tb2PmGa structure. The functional is GGA-PBE.

Cell lengths 3.5467, 3.5467, 8.9893 Å; angles 90.00, 90.00, 90.00 degrees
Space group P4/mmm (No. 123)
Symmetry-distinct sites (fractional):
1 Tb 0.0000 0.0000 0.2066 [2 per cell]
2 Pm 0.5000 0.5000 0.5000 [1 per cell]
3 Ga 0.5000 0.5000 0.0000 [1 per cell]

Offset from the most stable computed form   0.00 eV/f.u.
E   -18.158 eV per formula unit

=====

Entry 4:
This record from Alexandria describes a geometry-optimized Tb2PmGa9 structure. The functional is GGA-PBE.

Cell lengths 4.3095, 4.3095, 12.9264 Å; angles 90.00, 90.00, 90.00 degrees
Space group P4/mmm (No. 123)
Symmetry-distinct sites (fractional):
1 Tb 0.0000 0.0000 0.1650 [2 per cell]
2 Pm 0.0000 0.0000 0.5000 [1 per cell]
3 Ga 0.0000 0.5000 0.0000 [2 per cell]
4 Ga 0.0000 0.5000 0.3302 [4 per cell]
5 Ga 0.5000 0.5000 0.1665 [2 per cell]
6 Ga 0.5000 0.5000 0.5000 [1 per cell]

E   -47.697 eV per formula unit

=====

For reference, calculated formation energy by record: -0.28 -0.27 -0.28 -0.54 eV per atom.
For reference, ρ by record: 5.1 4.7 7.8 7.5 g/cm³.
For reference, N(E_F) by record: 5.086 3.982 3.426 5.093 states/eV/cell.